Entry 1:
This record from OQMD describes a geometry-optimized Y3Mg3ZnCuIr structure. The functional is PBE.

Calculated values
E_tot = -4.628 eV per atom

Unit cell a=7.535 b=7.535 c=3.969 alpha=90.00 beta=90.00 gamma=120.00
Sites, in units of the cell vectors:
Mg 0.000 0.244 0.500
Mg 0.244 0.000 0.500
Mg 0.756 0.756 0.500
Ir 0.667 0.333 0.500
Y 0.978 0.576 0.000
Y 0.424 0.402 0.000
Y 0.598 0.022 0.000
Cu 0.000 0.000 0.000
Zn 0.333 0.667 0.500

---

Entry 2:
This record from OQMD describes a geometry-optimized AlNiSb2 structure. The functional is PBE.

Calculated values
E_tot = -3.983 eV per atom

Unit cell a=4.882 b=4.882 c=4.882 alpha=60.00 beta=60.00 gamma=60.00
Sites, in units of the cell vectors:
Ni 0.000 0.000 0.000
Al 0.750 0.750 0.750
Sb 0.500 0.500 0.500
Sb 0.250 0.250 0.250

---

Entry 3:
This record from OQMD describes a geometry-optimized TaSiOs2 structure. The functional is PBE.

Calculated values
E_tot = -9.728 eV per atom

Unit cell a=4.393 b=4.393 c=4.393 alpha=60.00 beta=60.00 gamma=60.00
Sites, in units of the cell vectors:
Ta 0.250 0.250 0.250
Os 0.750 0.750 0.750
Os 0.000 0.000 0.000
Si 0.500 0.500 0.500